# 1
Below is an optimized crystal structure of ZrFeOs2, with properties calculated at the PBE level.

Formation enthalpy at 0 K = 0.0675 eV per atom
Electronic total energy = -39.2 eV for the cell shown
Offset from the most stable computed form = 72 meV/atom

Lattice parameters (Å, degrees): 4.8311 4.8311 4.8311 131.76 131.76 70.61
Sites, in units of the cell vectors:
Zr  0.0000  0.0000  0.0000
Fe  0.2500  0.7500  0.5000
Os  0.5000  0.5000  0.0000
Os  0.7500  0.2500  0.5000



# 2
Below is an optimized crystal structure of MnIn2S4, with properties calculated at the PBE level.

Raw formation energy = -575 meV/atom
Electronic total energy = -70.4 eV for the cell shown

Lattice parameters (Å, degrees): 7.6299 7.6299 7.6299 60.00 60.00 60.00
Sites, in units of the cell vectors:
Mn  0.1250  0.1250  0.1250
Mn  0.8750  0.8750  0.8750
In  0.0000  0.5000  0.5000
In  0.5000  0.0000  0.5000
In  0.5000  0.5000  0.0000
In  0.5000  0.5000  0.5000
S  0.2549  0.2549  0.2549
S  0.2549  0.2549  0.7352
S  0.2549  0.7352  0.2549
S  0.2648  0.7451  0.7451
S  0.7352  0.2549  0.2549
S  0.7451  0.2648  0.7451
S  0.7451  0.7451  0.2648
S  0.7451  0.7451  0.7451



# 3
Below is an optimized crystal structure of SrMgMn2, with properties calculated at the PBE level.

Formation enthalpy at 0 K = 0.7542 eV per atom
Electronic total energy = -18.6 eV for the cell shown

Lattice parameters (Å, degrees): 10.0554 10.0554 10.0554 18.73 18.73 18.73
Sites, in units of the cell vectors:
Sr  0.0000  0.0000  0.0000
Mg  0.5000  0.5000  0.5000
Mn  0.2416  0.2416  0.2416
Mn  0.7584  0.7584  0.7584



# 4
Below is an optimized crystal structure of Rb2RhS, with properties calculated at the PBE level.

Raw formation energy = 482 meV/atom
Electronic total energy = -23.0 eV for the cell shown

Lattice parameters (Å, degrees): 11.2861 11.2861 11.2861 156.28 156.28 33.79
Sites, in units of the cell vectors:
Rb  0.1252  0.6250  0.0002
Rb  0.3750  0.3752  0.5002
Rb  0.6248  0.1250  0.9998
Rb  0.8750  0.8748  0.4998
Rh  0.0000  0.0000  0.0000
Rh  0.7500  0.2500  0.5000
S  0.2500  0.7500  0.5000
S  0.5000  0.5000  0.0000



# 5
Below is an optimized crystal structure of Co2PtBr, with properties calculated at the PBE level.

Raw formation energy = 720 meV/atom
Electronic total energy = -19.0 eV for the cell shown
Offset from the most stable computed form = 420 meV/atom

Lattice parameters (Å, degrees): 4.8511 4.8511 4.8511 133.11 133.11 68.48
Sites, in units of the cell vectors:
Co  0.0000  0.0000  0.0000
Co  0.7500  0.2500  0.5000
Pt  0.2500  0.7500  0.5000
Br  0.5000  0.5000  0.0000



# 6
Below is an optimized crystal structure of BeV2Re, with properties calculated at the PBE level.

Formation enthalpy at 0 K = -0.1631 eV per atom
Electronic total energy = -35.1 eV for the cell shown

Lattice parameters (Å, degrees): 3.0360 3.0360 5.4835 90.00 90.00 90.00
Sites, in units of the cell vectors:
Be  0.0000  0.0000  0.0000
V  0.5000  0.5000  0.2293
V  0.5000  0.5000  0.7707
Re  0.0000  0.0000  0.5000



# 7
Below is an optimized crystal structure of KP2ClF, with properties calculated at the PBE level.

Raw formation energy = -145 meV/atom
Electronic total energy = -16.4 eV for the cell shown
Offset from the most stable computed form = 0 meV/atom

Lattice parameters (Å, degrees): 4.2110 4.2110 7.0120 90.00 90.00 90.00
Sites, in units of the cell vectors:
K  0.0000  0.0000  0.0000
P  0.0000  0.5000  0.5000
P  0.5000  0.0000  0.5000
Cl  0.5000  0.5000  0.0000
F  0.5000  0.5000  0.5000



# 8
Below is an optimized crystal structure of Li2PW, with properties calculated at the PBE level.

Formation enthalpy at 0 K = 0.1173 eV per atom
Electronic total energy = -21.7 eV for the cell shown

Lattice parameters (Å, degrees): 2.7139 4.1677 4.9102 90.00 90.00 90.00
Sites, in units of the cell vectors:
Li  0.0000  0.0000  0.2426
Li  0.0000  0.0000  0.7574
P  0.5000  0.5000  0.0000
W  0.5000  0.5000  0.5000



# 9
Below is an optimized crystal structure of LaPaI2, with properties calculated at the PBE level.

Raw formation energy = -386 meV/atom
Electronic total energy = -19.1 eV for the cell shown

Lattice parameters (Å, degrees): 11.3675 11.3675 11.3675 19.20 19.20 19.20
Sites, in units of the cell vectors:
La  0.0000  0.0000  0.0000
Pa  0.5000  0.5000  0.5000
I  0.4056  0.4056  0.4056
I  0.5944  0.5944  0.5944



# 10
Below is an optimized crystal structure of LaEuCuBi, with properties calculated at the PBE level.

Formation enthalpy at 0 K = -0.4470 eV per atom
Electronic total energy = -25.0 eV for the cell shown

Lattice parameters (Å, degrees): 5.4760 5.4760 5.4760 60.00 60.00 60.00
Sites, in units of the cell vectors:
La  0.0000  0.0000  0.0000
Eu  0.5000  0.5000  0.5000
Cu  0.2500  0.2500  0.2500
Bi  0.7500  0.7500  0.7500



# 11
Below is an optimized crystal structure of CeErMgCu, with properties calculated at the PBE level.

Formation enthalpy at 0 K = 0.0354 eV per atom
Electronic total energy = -16.0 eV for the cell shown

Lattice parameters (Å, degrees): 5.1538 5.1538 5.1538 60.00 60.00 60.00
Sites, in units of the cell vectors:
Ce  0.0000  0.0000  0.0000
Er  0.5000  0.5000  0.5000
Mg  0.7500  0.7500  0.7500
Cu  0.2500  0.2500  0.2500



# 12
Below is an optimized crystal structure of PuNp2Tl3Te6, with properties calculated at the PBE level.

Raw formation energy = -644 meV/atom
Electronic total energy = -73.9 eV for the cell shown

Lattice parameters (Å, degrees): 7.7836 7.7836 8.5672 98.71 98.71 120.00
Sites, in units of the cell vectors:
Pu  0.0000  0.0000  0.0000
Np  0.3332  0.6668  0.0000
Np  0.6668  0.3332  0.0000
Tl  0.1660  0.8340  0.5000
Tl  0.5000  0.5000  0.5000
Tl  0.8340  0.1660  0.5000
Te  0.0713  0.4076  0.2139
Te  0.2654  0.2654  0.7870
Te  0.4076  0.0713  0.2139
Te  0.5924  0.9287  0.7861
Te  0.7346  0.7346  0.2130
Te  0.9287  0.5924  0.7861



- What is the formula in the sixth record?
  BeV2Re



- Which of these has the highest electronic total energy?
  CeErMgCu



- Look up the electronic total energy of the second one.
  -70.4 eV for the cell shown



What did the tenth record say?
Below is an optimized crystal structure of LaEuCuBi, with properties calculated at the PBE level.

Formation enthalpy at 0 K = -0.4470 eV per atom
Electronic total energy = -25.0 eV for the cell shown

Lattice parameters (Å, degrees): 5.4760 5.4760 5.4760 60.00 60.00 60.00
Sites, in units of the cell vectors:
La  0.0000  0.0000  0.0000
Eu  0.5000  0.5000  0.5000
Cu  0.2500  0.2500  0.2500
Bi  0.7500  0.7500  0.7500